Record 1
Computed, not measured: a relaxed Hf2ZrZnAs crystal at the GGA-PBE level of DFT.

## Properties
E_form (meV per atom): 674.3
Total DFT energy (no corrections) (eV per atom): -6.201
Space-group type: P4/mmm (123)

Unit cell a=4.9851 b=4.9851 c=4.5759 alpha=90.00 beta=90.00 gamma=90.00
Sites, in units of the cell vectors:
Hf 0.0000 0.5000 0.0000
Hf 0.5000 0.0000 0.0000
Zr 0.0000 0.0000 0.5000
Zn 0.5000 0.5000 0.0000
As 0.5000 0.5000 0.5000


Record 2
Computed, not measured: a relaxed Na2BeFeSi crystal at the GGA-PBE level of DFT.

## Properties
Total DFT energy (no corrections) (eV per atom): -3.043
Space-group type: P4/mmm (123)
Energy relative to the elements, uncorrected (meV per atom): 1007

Unit cell a=5.4015 b=5.4015 c=4.4190 alpha=90.00 beta=90.00 gamma=90.00
Sites, in units of the cell vectors:
Na 0.0000 0.5000 0.0000
Na 0.5000 0.0000 0.0000
Be 0.0000 0.0000 0.5000
Fe 0.5000 0.5000 0.5000
Si 0.5000 0.5000 0.0000